The following is a PBE with a Hubbard U calculation of an optimized crystal structure of KNiF3, from Alexandria via LeMat-Bulk.

a = 8.025 Å, b = 6.493 Å, c = 7.242 Å
α = 90.00°, β = 116.46°, γ = 90.00°
Fractional positions:
K  0.130  0.228  0.057
K  0.130  0.272  0.557
K  0.870  0.728  0.443
K  0.870  0.772  0.943
Ni  0.329  0.640  0.921
Ni  0.329  0.860  0.421
Ni  0.671  0.140  0.579
Ni  0.671  0.360  0.079
F  0.067  0.559  0.805
F  0.067  0.941  0.305
F  0.301  0.690  0.636
F  0.301  0.810  0.136
F  0.394  0.164  0.446
F  0.394  0.336  0.946
F  0.606  0.664  0.054
F  0.606  0.836  0.554
F  0.699  0.190  0.864
F  0.699  0.310  0.364
F  0.933  0.059  0.695
F  0.933  0.441  0.195

Computed properties:
E_tot = -84.40 eV for the cell shown
space-group type = P2_1/c (14)
DOS(E_F) = 0.0 states/eV/f.u.